# PBE AlNi2P, relaxed
# Excess energy over the best structure of this formula in the dataset = 1.01 eV/f.u.
data_AlNi2P
_cell_length_a 5.721
_cell_length_b 5.721
_cell_length_c 5.721
_cell_angle_alpha 90.00
_cell_angle_beta 90.00
_cell_angle_gamma 90.00
_space_group_name_H-M_alt 'F m -3 m'
_space_group_IT_number 225
_space_group_name_Hall '-F 4 2 3'
loop_
_atom_site_label
_atom_site_fract_x
_atom_site_fract_y
_atom_site_fract_z
_atom_site_occupancy
Al1 0.000 0.000 0.000 1
Ni1 0.250 0.250 0.250 1
P1 0.000 0.000 0.500 1



# PBE AlNiP, relaxed
# E = -5.202 eV/atom
data_AlNiP
_cell_length_a 3.405
_cell_length_b 11.502
_cell_length_c 6.135
_cell_angle_alpha 90.00
_cell_angle_beta 90.00
_cell_angle_gamma 90.00
_space_group_name_H-M_alt 'A m m 2'
_space_group_IT_number 38
loop_
_space_group_symop_operation_xyz
'x,y,z'
'-x,-y,z'
'-x,y,z'
'x,-y,z'
'x,y+1/2,z+1/2'
'-x,-y+1/2,z+1/2'
'-x,y+1/2,z+1/2'
'x,-y+1/2,z+1/2'
loop_
_atom_site_label
_atom_site_fract_x
_atom_site_fract_y
_atom_site_fract_z
_atom_site_occupancy
Al1 0.000 0.000 0.000 1
Al2 0.000 0.126 0.563 1
Ni1 0.000 0.183 0.192 1
Ni2 0.500 0.000 0.710 1
P1 0.500 0.000 0.326 1
P2 0.500 0.185 0.885 1



# PBE AlNiP, relaxed
# E = -5.170 eV/atom
data_AlNiP
_cell_length_a 4.726
_cell_length_b 4.737
_cell_length_c 7.070
_cell_angle_alpha 90.00
_cell_angle_beta 90.00
_cell_angle_gamma 90.00
_space_group_name_H-M_alt 'F m m 2'
_space_group_IT_number 42
_space_group_name_Hall 'F 2 -2'
loop_
_atom_site_label
_atom_site_fract_x
_atom_site_fract_y
_atom_site_fract_z
_atom_site_occupancy
Al1 0.000 0.000 0.000 1
Ni1 0.000 0.000 0.658 1
P1 0.000 0.000 0.340 1



# PBE Al2NiP, relaxed
# E = -4.900 eV/atom
data_Al2NiP
_cell_length_a 3.238
_cell_length_b 3.254
_cell_length_c 5.094
_cell_angle_alpha 90.00
_cell_angle_beta 90.00
_cell_angle_gamma 90.00
_space_group_name_H-M_alt 'P m m m'
_space_group_IT_number 47
loop_
_space_group_symop_operation_xyz
'x,y,z'
'-x,-y,-z'
'-x,-y,z'
'x,y,-z'
'x,-y,-z'
'-x,y,z'
'-x,y,-z'
'x,-y,z'
loop_
_atom_site_label
_atom_site_fract_x
_atom_site_fract_y
_atom_site_fract_z
_atom_site_occupancy
Al1 0.000 0.000 0.250 1
Ni1 0.500 0.500 0.000 1
P1 0.500 0.500 0.500 1



# PBE AlNi2P, relaxed
# Excess energy over the best structure of this formula in the dataset = 0.98 eV/f.u.
data_AlNi2P
_cell_length_a 2.7475
_cell_length_b 2.7475
_cell_length_c 22.2407
_cell_angle_alpha 90.00
_cell_angle_beta 90.00
_cell_angle_gamma 120.00
_space_group_name_H-M_alt 'R -3 m'
_space_group_IT_number 166
_space_group_name_Hall '-R 3 2"'
loop_
_atom_site_label
_atom_site_fract_x
_atom_site_fract_y
_atom_site_fract_z
_atom_site_occupancy
Al1 0.0000 0.0000 0.0000 1
Ni1 0.0000 0.0000 0.2429 1
P1 0.0000 0.0000 0.5000 1



# PBE Al2NiP, relaxed
# E = -4.819 eV/atom
data_Al2NiP
_cell_length_a 3.0120
_cell_length_b 3.0120
_cell_length_c 22.1439
_cell_angle_alpha 90.00
_cell_angle_beta 90.00
_cell_angle_gamma 120.00
_space_group_name_H-M_alt 'R 3 m'
_space_group_IT_number 160
_space_group_name_Hall 'R 3 -2"'
loop_
_atom_site_label
_atom_site_fract_x
_atom_site_fract_y
_atom_site_fract_z
_atom_site_occupancy
Al1 0.0000 0.0000 0.0000 1
Al2 0.0000 0.0000 0.2353 1
Ni1 0.0000 0.0000 0.7501 1
P1 0.0000 0.0000 0.4831 1



# PBE AlNi2P, relaxed
# Excess energy over the best structure of this formula in the dataset = 0.75 eV/f.u.
data_AlNi2P
_cell_length_a 2.955
_cell_length_b 2.966
_cell_length_c 5.403
_cell_angle_alpha 90.00
_cell_angle_beta 90.00
_cell_angle_gamma 90.00
_space_group_name_H-M_alt 'P m m m'
_space_group_IT_number 47
loop_
_space_group_symop_operation_xyz
'x,y,z'
'-x,-y,-z'
'-x,-y,z'
'x,y,-z'
'x,-y,-z'
'-x,y,z'
'-x,y,-z'
'x,-y,z'
loop_
_atom_site_label
_atom_site_fract_x
_atom_site_fract_y
_atom_site_fract_z
_atom_site_occupancy
Al1 0.000 0.000 0.000 1
Ni1 0.500 0.500 0.259 1
P1 0.000 0.000 0.500 1



# PBE Al2NiP, relaxed
# E = -4.833 eV/atom
data_Al2NiP
_cell_length_a 2.778
_cell_length_b 2.778
_cell_length_c 7.144
_cell_angle_alpha 90.00
_cell_angle_beta 90.00
_cell_angle_gamma 90.00
_space_group_name_H-M_alt 'P 4/m m m'
_space_group_IT_number 123
_space_group_name_Hall '-P 4 2'
loop_
_atom_site_label
_atom_site_fract_x
_atom_site_fract_y
_atom_site_fract_z
_atom_site_occupancy
Al1 0.000 0.000 0.218 1
Ni1 0.500 0.500 0.000 1
P1 0.500 0.500 0.500 1